Entry 1:
Below is crystalline Tb3PmPr6Y2 at its relaxed geometry, with properties calculated at the PBE level.

Summary:
Crystal system ... monoclinic
VASP energy ... -5.0113 eV per atom
Magnetic moment ... 0.0 μB per formula unit
ΔH_f (0 K) ... 0.11 eV/f.u.
Density of states at the Fermi level ... 14.51 states/eV/f.u.

Cell lengths 6.3393, 6.3393, 11.9835 Å; angles 95.04, 95.04, 120.01 degrees
Sites, in units of the cell vectors:
Tb: 0.1668 0.8332 0.5000
Tb: 0.8332 0.1668 0.5000
Tb: 0.5000 0.5000 0.5000
Pm: 0.0000 0.0000 0.0000
Pr: 0.9160 0.5829 0.7488
Pr: 0.7509 0.7509 0.2511
Pr: 0.0840 0.4171 0.2512
Pr: 0.5829 0.9160 0.7488
Pr: 0.2491 0.2491 0.7489
Pr: 0.4171 0.0840 0.2512
Y: 0.3335 0.6665 0.0000
Y: 0.6665 0.3335 0.0000



Entry 2:
Below is crystalline TbPmPr2Y6 at its relaxed geometry, with properties calculated at the PBE level.

Summary:
Crystal system ... monoclinic
VASP energy ... -5.6572 eV per atom
Magnetic moment ... 0.0 μB per formula unit
ΔH_f (0 K) ... 1.15 eV/f.u.
Density of states at the Fermi level ... 15.54 states/eV/f.u.

Cell lengths 9.9446, 8.8048, 8.8048 Å; angles 117.60, 95.51, 95.51 degrees
Sites, in units of the cell vectors:
Tb: 0.2500 0.9838 0.0162
Tb: 0.7500 0.0162 0.9838
Pm: 0.2500 0.4040 0.5960
Pm: 0.7500 0.5960 0.4040
Pr: 0.4564 0.8110 0.7134
Pr: 0.0436 0.2866 0.1890
Pr: 0.5436 0.1890 0.2866
Pr: 0.9564 0.7134 0.8110
Y: 0.0565 0.1205 0.7418
Y: 0.4435 0.2582 0.8795
Y: 0.9435 0.8795 0.2582
Y: 0.5565 0.7418 0.1205
Y: 0.3148 0.9757 0.4209
Y: 0.1852 0.5791 0.0243
Y: 0.6852 0.0243 0.5791
Y: 0.8148 0.4209 0.9757
Y: 0.1186 0.7028 0.4961
Y: 0.3814 0.5039 0.2972
Y: 0.8814 0.2972 0.5039
Y: 0.6186 0.4961 0.7028



Entry 3:
Below is crystalline Tb2PmPr5Y at its relaxed geometry, with properties calculated at the PBE level.

Summary:
Crystal system ... orthorhombic
VASP energy ... -4.7882 eV per atom
Magnetic moment ... 0.0 μB per formula unit
ΔH_f (0 K) ... 1.28 eV/f.u.
Density of states at the Fermi level ... 14.32 states/eV/f.u.

Cell lengths 5.7150, 10.7559, 10.7791 Å; angles 90.00, 90.00, 105.41 degrees
Sites, in units of the cell vectors:
Tb: 0.8841 0.7682 0.8124
Tb: 0.1122 0.2243 0.7376
Tb: 0.1159 0.2318 0.3124
Tb: 0.8878 0.7757 0.2376
Pm: 0.7996 0.5992 0.5099
Pm: 0.2004 0.4008 0.0099
Pr: 0.3881 0.7763 0.0242
Pr: 0.7210 0.4419 0.8111
Pr: 0.4814 0.9628 0.7445
Pr: 0.2952 0.5904 0.7042
Pr: 0.9853 0.9706 0.5189
Pr: 0.6119 0.2237 0.5242
Pr: 0.2790 0.5581 0.3111
Pr: 0.5186 0.0372 0.2445
Pr: 0.7048 0.4096 0.2042
Pr: 0.0147 0.0294 0.0189
Y: 0.5926 0.1851 0.9611
Y: 0.4074 0.8149 0.4611



Entry 4:
Below is crystalline Tb2Pm6PrY3 at its relaxed geometry, with properties calculated at the PBE level.

Summary:
Crystal system ... monoclinic
VASP energy ... -5.1489 eV per atom
Magnetic moment ... 0.0 μB per formula unit
ΔH_f (0 K) ... 0.15 eV/f.u.
Density of states at the Fermi level ... 15.54 states/eV/f.u.

Cell lengths 6.2815, 6.2815, 11.9626 Å; angles 95.01, 95.01, 119.99 degrees
Sites, in units of the cell vectors:
Tb: 0.3335 0.6665 0.0000
Tb: 0.6665 0.3335 0.0000
Pm: 0.9159 0.5817 0.7488
Pm: 0.7498 0.7498 0.2512
Pm: 0.0841 0.4183 0.2512
Pm: 0.5817 0.9159 0.7488
Pm: 0.2502 0.2502 0.7488
Pm: 0.4183 0.0841 0.2512
Pr: 0.0000 0.0000 0.0000
Y: 0.1670 0.8330 0.5000
Y: 0.8330 0.1670 0.5000
Y: 0.5000 0.5000 0.5000



Entry 5:
Below is crystalline Tb6Pm2PrY3 at its relaxed geometry, with properties calculated at the PBE level.

Summary:
Crystal system ... monoclinic
VASP energy ... -5.1046 eV per atom
Magnetic moment ... 0.0 μB per formula unit
ΔH_f (0 K) ... 0.20 eV/f.u.
Density of states at the Fermi level ... 16.38 states/eV/f.u.

Cell lengths 6.2234, 6.2234, 11.9007 Å; angles 94.98, 94.98, 119.98 degrees
Sites, in units of the cell vectors:
Tb: 0.9154 0.5817 0.7474
Tb: 0.7509 0.7509 0.2526
Tb: 0.0846 0.4183 0.2526
Tb: 0.5817 0.9154 0.7474
Tb: 0.2491 0.2491 0.7474
Tb: 0.4183 0.0846 0.2526
Pm: 0.3333 0.6667 0.0000
Pm: 0.6667 0.3333 0.0000
Pr: 0.0000 0.0000 0.0000
Y: 0.1668 0.8332 0.5000
Y: 0.8332 0.1668 0.5000
Y: 0.5000 0.5000 0.5000



Entry 6:
Below is crystalline Tb2Pm2Pr2Y at its relaxed geometry, with properties calculated at the PBE level.

Summary:
Crystal system ... trigonal
VASP energy ... -4.8400 eV per atom
Magnetic moment ... 0.0 μB per formula unit
ΔH_f (0 K) ... 0.90 eV/f.u.
Density of states at the Fermi level ... 16.72 states/eV/f.u.

Cell lengths 5.7754, 5.7754, 8.9148 Å; angles 71.10, 71.10, 60.00 degrees
Sites, in units of the cell vectors:
Tb: 0.5734 0.5734 0.2797
Tb: 0.4266 0.4266 0.7203
Pm: 0.7170 0.7170 0.8491
Pm: 0.2830 0.2830 0.1509
Pr: 0.1387 0.1387 0.5839
Pr: 0.8613 0.8613 0.4161
Y: 0.0000 0.0000 0.0000



Entry 7:
Below is crystalline TbPmPr2Y at its relaxed geometry, with properties calculated at the PBE level.

Summary:
Crystal system ... orthorhombic
VASP energy ... -4.6911 eV per atom
Magnetic moment ... 0.0 μB per formula unit
ΔH_f (0 K) ... 1.95 eV/f.u.
Density of states at the Fermi level ... 6.92 states/eV/f.u.

Cell lengths 7.3113, 8.4808, 7.2643 Å; angles 125.71, 90.00, 90.00 degrees
Sites, in units of the cell vectors:
Tb: 0.2500 0.9778 0.9556
Tb: 0.7500 0.0222 0.0444
Pm: 0.2500 0.7171 0.4343
Pm: 0.7500 0.2829 0.5657
Pr: 0.5000 0.3069 0.0000
Pr: 0.0000 0.6931 0.0000
Pr: 0.5000 0.6931 0.0000
Pr: 0.0000 0.3069 0.0000
Y: 0.7500 0.7433 0.4866
Y: 0.2500 0.2567 0.5134



Entry 8:
Below is crystalline Tb2Pm2Pr4Y at its relaxed geometry, with properties calculated at the PBE level.

Summary:
Crystal system ... monoclinic
VASP energy ... -4.9090 eV per atom
Magnetic moment ... 0.0 μB per formula unit
ΔH_f (0 K) ... 0.16 eV/f.u.
Density of states at the Fermi level ... 14.60 states/eV/f.u.

Cell lengths 5.1763, 8.1830, 8.1460 Å; angles 107.61, 90.00, 108.44 degrees
Sites, in units of the cell vectors:
Tb: 0.3328 0.6657 0.0002
Tb: 0.6672 0.3343 0.9998
Pm: 0.8883 0.7766 0.3304
Pm: 0.1117 0.2234 0.6696
Pr: 0.7777 0.5553 0.6693
Pr: 0.2223 0.4447 0.3307
Pr: 0.5547 0.1095 0.3316
Pr: 0.4453 0.8905 0.6684
Y: 0.0000 0.0000 0.0000



Entry 9:
Below is crystalline TbPm2Pr2Y6 at its relaxed geometry, with properties calculated at the PBE level.

Summary:
Crystal system ... monoclinic
VASP energy ... -5.4988 eV per atom
Magnetic moment ... 0.0 μB per formula unit
ΔH_f (0 K) ... 1.99 eV/f.u.
Density of states at the Fermi level ... 17.09 states/eV/f.u.

Cell lengths 6.2060, 6.2060, 11.7858 Å; angles 95.01, 95.01, 120.10 degrees
Sites, in units of the cell vectors:
Tb: 0.0000 0.0000 0.5000
Pm: 0.3360 0.6640 0.5000
Pm: 0.6640 0.3360 0.5000
Pr: 0.8327 0.1673 0.0000
Pr: 0.1673 0.8327 0.0000
Y: 0.7488 0.7488 0.7489
Y: 0.0828 0.4150 0.7487
Y: 0.2512 0.2512 0.2511
Y: 0.4150 0.0828 0.7487
Y: 0.9172 0.5850 0.2513
Y: 0.5850 0.9172 0.2513



Entry 10:
Below is crystalline Tb2PmPr2Y2 at its relaxed geometry, with properties calculated at the PBE level.

Summary:
Crystal system ... monoclinic
VASP energy ... -5.1305 eV per atom
Magnetic moment ... 0.0 μB per formula unit
ΔH_f (0 K) ... 0.58 eV/f.u.
Density of states at the Fermi level ... 12.25 states/eV/f.u.

Cell lengths 3.5490, 6.2112, 11.9495 Å; angles 72.24, 90.00, 106.60 degrees
Sites, in units of the cell vectors:
Tb: 0.7734 0.5467 0.3641
Tb: 0.2266 0.4533 0.6359
Pm: 0.0000 0.0000 0.5000
Pr: 0.6724 0.3448 0.9148
Pr: 0.3276 0.6552 0.0852
Y: 0.4510 0.9019 0.7715
Y: 0.5490 0.0981 0.2285



Entry 11:
Below is crystalline TbPm2Pr2Y2 at its relaxed geometry, with properties calculated at the PBE level.

Summary:
Crystal system ... trigonal
VASP energy ... -5.1070 eV per atom
Magnetic moment ... 0.0 μB per formula unit
ΔH_f (0 K) ... 0.87 eV/f.u.
Density of states at the Fermi level ... 15.89 states/eV/f.u.

Cell lengths 5.7884, 5.7884, 8.8871 Å; angles 70.99, 70.99, 60.00 degrees
Sites, in units of the cell vectors:
Tb: 0.0000 0.0000 0.0000
Pm: 0.7177 0.7177 0.8470
Pm: 0.2823 0.2823 0.1530
Pr: 0.1387 0.1387 0.5839
Pr: 0.8613 0.8613 0.4161
Y: 0.5734 0.5734 0.2798
Y: 0.4266 0.4266 0.7202



Entry 12:
Below is crystalline Tb6PmPrY2 at its relaxed geometry, with properties calculated at the PBE level.

Summary:
Crystal system ... monoclinic
VASP energy ... -4.9025 eV per atom
Magnetic moment ... 0.0 μB per formula unit
ΔH_f (0 K) ... 1.21 eV/f.u.
Density of states at the Fermi level ... 12.97 states/eV/f.u.

Cell lengths 9.0920, 9.0116, 9.0116 Å; angles 116.46, 91.08, 91.08 degrees
Sites, in units of the cell vectors:
Tb: 0.0677 0.0864 0.7736
Tb: 0.4323 0.2264 0.9136
Tb: 0.9323 0.9136 0.2264
Tb: 0.5677 0.7736 0.0864
Tb: 0.3191 0.0200 0.4689
Tb: 0.1809 0.5311 0.9800
Tb: 0.6809 0.9800 0.5311
Tb: 0.8191 0.4689 0.0200
Tb: 0.0944 0.7184 0.4426
Tb: 0.4056 0.5574 0.2816
Tb: 0.9056 0.2816 0.5574
Tb: 0.5944 0.4426 0.7184
Pm: 0.2500 0.4263 0.5737
Pm: 0.7500 0.5737 0.4263
Pr: 0.2500 0.9429 0.0571
Pr: 0.7500 0.0571 0.9429
Y: 0.4370 0.7976 0.6966
Y: 0.0630 0.3034 0.2024
Y: 0.5630 0.2024 0.3034
Y: 0.9370 0.6966 0.7976



Please write out number 6 again, unchanged.
Below is crystalline Tb2Pm2Pr2Y at its relaxed geometry, with properties calculated at the PBE level.

Summary:
Crystal system ... trigonal
VASP energy ... -4.8400 eV per atom
Magnetic moment ... 0.0 μB per formula unit
ΔH_f (0 K) ... 0.90 eV/f.u.
Density of states at the Fermi level ... 16.72 states/eV/f.u.

Cell lengths 5.7754, 5.7754, 8.9148 Å; angles 71.10, 71.10, 60.00 degrees
Sites, in units of the cell vectors:
Tb: 0.5734 0.5734 0.2797
Tb: 0.4266 0.4266 0.7203
Pm: 0.7170 0.7170 0.8491
Pm: 0.2830 0.2830 0.1509
Pr: 0.1387 0.1387 0.5839
Pr: 0.8613 0.8613 0.4161
Y: 0.0000 0.0000 0.0000